No. 1
The following is a DFT calculation (PBE) of Nd6ScSe8 after structural relaxation.

Symmetry: R-3 (148)
E_form (uncorrected): -1.742 eV per atom
DOS at the Fermi energy: 6.1 states/eV/f.u.

abc: 7.836 7.836 7.836
angles: 67.87 67.87 67.87
Positions (direct):
Nd (0.088, 0.467, 0.694)
Nd (0.306, 0.912, 0.533)
Nd (0.467, 0.694, 0.088)
Nd (0.533, 0.306, 0.912)
Nd (0.694, 0.088, 0.467)
Nd (0.912, 0.533, 0.306)
Sc (0.000, 0.000, 0.000)
Se (0.090, 0.822, 0.346)
Se (0.178, 0.654, 0.910)
Se (0.326, 0.326, 0.326)
Se (0.346, 0.090, 0.822)
Se (0.654, 0.910, 0.178)
Se (0.674, 0.674, 0.674)
Se (0.822, 0.346, 0.090)
Se (0.910, 0.178, 0.654)

=====

No. 2
The following is a DFT calculation (PBE) of Nd2ScSe after structural relaxation.

Symmetry: R-3m (166)
E_form (uncorrected): -0.462 eV per atom
DOS at the Fermi energy: 5.2 states/eV/f.u.

abc: 10.349 10.349 10.349
angles: 21.19 21.19 21.19
Positions (direct):
Nd (0.104, 0.104, 0.104)
Nd (0.896, 0.896, 0.896)
Sc (0.000, 0.000, 0.000)
Se (0.500, 0.500, 0.500)

=====

No. 3
The following is a DFT calculation (PBE) of Nd3Sc2Se6 after structural relaxation.

Symmetry: R-3m (166)
E_form (uncorrected): -1.726 eV per atom
DOS at the Fermi energy: 4.5 states/eV/f.u.

abc: 20.777 20.777 20.777
angles: 11.17 11.17 11.17
Positions (direct):
Nd (0.000, 0.000, 0.000)
Nd (0.275, 0.275, 0.275)
Nd (0.725, 0.725, 0.725)
Sc (0.450, 0.450, 0.450)
Sc (0.550, 0.550, 0.550)
Se (0.090, 0.090, 0.090)
Se (0.196, 0.196, 0.196)
Se (0.363, 0.363, 0.363)
Se (0.637, 0.637, 0.637)
Se (0.804, 0.804, 0.804)
Se (0.910, 0.910, 0.910)

=====

No. 4
The following is a DFT calculation (PBE) of Nd5Sc3Se8 after structural relaxation.

Symmetry: R-3m (166)
E_form (uncorrected): -1.715 eV per atom
DOS at the Fermi energy: 10.6 states/eV/f.u.

abc: 8.278 8.278 8.278
angles: 58.94 58.94 58.94
Positions (direct):
Nd (0.000, 0.000, 0.000)
Nd (0.000, 0.500, 0.500)
Nd (0.500, 0.000, 0.500)
Nd (0.500, 0.500, 0.000)
Nd (0.500, 0.500, 0.500)
Sc (0.000, 0.000, 0.500)
Sc (0.000, 0.500, 0.000)
Sc (0.500, 0.000, 0.000)
Se (0.230, 0.750, 0.750)
Se (0.240, 0.240, 0.240)
Se (0.250, 0.250, 0.770)
Se (0.250, 0.770, 0.250)
Se (0.750, 0.230, 0.750)
Se (0.750, 0.750, 0.230)
Se (0.760, 0.760, 0.760)
Se (0.770, 0.250, 0.250)

=====

No. 5
The following is a DFT calculation (PBE) of NdSc3Se4 after structural relaxation.

Symmetry: P6_3/mmc (194)
E_form (uncorrected): -1.642 eV per atom
DOS at the Fermi energy: 5.7 states/eV/f.u.

abc: 3.921 3.921 26.518
angles: 90.00 90.00 120.00
Positions (direct):
Nd (0.333, 0.667, 0.250)
Nd (0.667, 0.333, 0.750)
Sc (0.000, 0.000, 0.000)
Sc (0.000, 0.000, 0.500)
Sc (0.333, 0.667, 0.618)
Sc (0.333, 0.667, 0.882)
Sc (0.667, 0.333, 0.118)
Sc (0.667, 0.333, 0.382)
Se (0.000, 0.000, 0.176)
Se (0.000, 0.000, 0.324)
Se (0.000, 0.000, 0.676)
Se (0.000, 0.000, 0.824)
Se (0.333, 0.667, 0.059)
Se (0.333, 0.667, 0.441)
Se (0.667, 0.333, 0.559)
Se (0.667, 0.333, 0.941)

=====

No. 6
The following is a DFT calculation (PBE) of Nd2ScSe4 after structural relaxation.

Symmetry: P2_1/m (11)
E_form (uncorrected): -1.651 eV per atom
DOS at the Fermi energy: 3.1 states/eV/f.u.

abc: 7.209 7.064 8.051
angles: 90.00 106.23 90.00
Positions (direct):
Nd (0.204, 0.250, 0.054)
Nd (0.211, 0.250, 0.550)
Nd (0.789, 0.750, 0.450)
Nd (0.796, 0.750, 0.946)
Sc (0.273, 0.750, 0.818)
Sc (0.727, 0.250, 0.182)
Se (0.004, 0.505, 0.252)
Se (0.004, 0.995, 0.252)
Se (0.475, 0.750, 0.613)
Se (0.480, 0.750, 0.126)
Se (0.520, 0.250, 0.874)
Se (0.525, 0.250, 0.387)
Se (0.996, 0.005, 0.748)
Se (0.996, 0.495, 0.748)